Record 1
Entry from the Alexandria database: a relaxed structure of MgAsRu (PBE).

Output
total magnetic moment = 0.00 μB per atom
total DFT energy (no corrections) = -16.49 eV/f.u.

The structure in extended XYZ format:
```
3
Lattice="2.1708 -2.1711 0.0000 2.1708 2.1711 0.0000 -0.0124 0.0000 5.7786" Properties=species:S:1:pos:R:3 pbc="T T T"
Mg 0.0000 0.0000 0.0000
As 0.0013 0.0000 3.0447
Ru 2.1717 0.0000 1.7853
```

=====

Record 2
Entry from the Alexandria database: a relaxed structure of Pm2Ho2Sc15 (PBE).

Output
total magnetic moment = 0.04 μB per atom
total DFT energy (no corrections) = -109.05 eV/f.u.

The structure in extended XYZ format:
```
19
Lattice="5.3197 3.0713 5.3534 -5.3197 3.0713 5.3534 0.0000 -6.1426 5.3534" Properties=species:S:1:pos:R:3 pbc="T T T"
Pm 0.0000 0.0000 2.5916
Pm 0.0000 0.0000 13.4687
Ho 0.0000 0.0000 6.2669
Ho 0.0000 0.0000 9.7934
Sc -2.6598 -1.5357 5.3534
Sc 0.0000 -3.1721 4.9708
Sc -2.7471 1.5860 4.9708
Sc -1.6061 -2.7818 8.0302
Sc -3.2121 0.0000 8.0302
Sc -2.7471 -1.5860 11.0895
Sc -2.6598 1.5357 10.7069
Sc 1.6061 -2.7818 8.0302
Sc 0.0000 3.0713 5.3534
Sc -1.6061 2.7818 8.0302
Sc 2.7471 1.5860 4.9708
Sc 3.2121 0.0000 8.0302
Sc 1.6061 2.7818 8.0302
Sc 2.7471 -1.5860 11.0896
Sc 0.0000 3.1721 11.0896
```

=====

Record 3
Entry from the Alexandria database: a relaxed structure of Ce2TmP (PBE).

Output
total magnetic moment = 0.43 μB per atom
total DFT energy (no corrections) = -23.26 eV/f.u.

The structure in extended XYZ format:
```
4
Lattice="1.8447 1.0650 9.9764 -1.8447 1.0650 9.9764 0.0000 -2.1301 9.9764" Properties=species:S:1:pos:R:3 pbc="T T T"
Ce 0.0000 0.0000 3.2309
Ce 0.0000 0.0000 26.6981
Tm 0.0000 0.0000 0.0000
P 0.0000 0.0000 14.9645
```

=====

Record 4
Entry from the Alexandria database: a relaxed structure of Pm4Ni2H (PBE).

Output
total magnetic moment = 0.00 μB per atom
excess energy over the best structure of this formula in the dataset = 0.747 eV/f.u.
total DFT energy (no corrections) = -35.34 eV/f.u.

The structure in extended XYZ format:
```
7
Lattice="-2.4018 2.4018 6.9433 2.4018 -2.4018 6.9433 2.4018 2.4018 -6.9433" Properties=species:S:1:pos:R:3 pbc="T T T"
Pm 2.4018 0.0000 0.0000
Pm 0.0000 0.0000 2.7342
Pm 0.0000 2.4018 0.0000
Pm 0.0000 0.0000 11.1524
Ni 0.0000 0.0000 5.3663
Ni 0.0000 0.0000 8.5203
H 0.0000 0.0000 0.0000
```

=====

Record 5
Entry from the Alexandria database: a relaxed structure of LiYGa2Te (PBE).

Output
total magnetic moment = 0.00 μB per atom
ΔE_f (raw) = 0.95 eV per formula unit
total DFT energy (no corrections) = -16.62 eV/f.u.

The structure in extended XYZ format:
```
5
Lattice="5.4825 0.0000 0.0000 0.0000 5.4825 0.0000 0.0000 0.0000 4.6915" Properties=species:S:1:pos:R:3 pbc="T T T"
Li 0.0000 0.0000 0.0000
Y 2.7412 2.7412 0.0000
Ga 0.0000 2.7412 2.3457
Ga 2.7412 0.0000 2.3457
Te 0.0000 0.0000 2.3457
```

=====

Record 6
Entry from the Alexandria database: a relaxed structure of LiCuNiGe (PBE).

Output
total magnetic moment = 0.00 μB per atom
total DFT energy (no corrections) = -17.40 eV/f.u.

The structure in extended XYZ format:
```
4
Lattice="0.0000 2.8932 2.8932 2.8932 0.0000 2.8932 2.8932 2.8932 0.0000" Properties=species:S:1:pos:R:3 pbc="T T T"
Li 0.0000 0.0000 0.0000
Cu 1.4466 1.4466 1.4466
Ni 4.3397 4.3397 4.3397
Ge 2.8932 2.8932 2.8932
```

=====

Record 7
Entry from the Alexandria database: a relaxed structure of ScAs2Se (PBE).

Output
total magnetic moment = 0.00 μB per atom
ΔE_f (raw) = -1.36 eV per formula unit
total DFT energy (no corrections) = -20.48 eV/f.u.

The structure in extended XYZ format:
```
4
Lattice="2.8999 -3.7180 0.0000 2.8999 3.7180 0.0000 0.0000 0.0000 3.6537" Properties=species:S:1:pos:R:3 pbc="T T T"
Sc 0.0000 0.0000 0.0000
As 1.4500 1.8590 1.8269
As 1.4500 -1.8590 1.8269
Se 2.8999 0.0000 0.0000
```

=====

Record 8
Entry from the Alexandria database: a relaxed structure of GeBiAs2 (PBE).

Output
total magnetic moment = 0.00 μB per atom
excess energy over the best structure of this formula in the dataset = 0.000 eV/f.u.
total DFT energy (no corrections) = -17.50 eV/f.u.

The structure in extended XYZ format:
```
4
Lattice="1.9572 1.1300 7.7094 -1.9572 1.1300 7.7094 0.0000 -2.2600 7.7094" Properties=species:S:1:pos:R:3 pbc="T T T"
Ge 0.0000 0.0000 0.0000
Bi 0.0000 0.0000 19.1573
As 0.0000 0.0000 9.7809
As 0.0000 0.0000 14.2334
```

=====

Number 1: D(E_F) 0.36 states/eV/atom. Number 2: D(E_F) 2.24 states/eV/atom. Number 3: D(E_F) 2.60 states/eV/atom. Number 4: D(E_F) 1.02 states/eV/atom. Number 5: D(E_F) 0.75 states/eV/atom. Number 6: D(E_F) 0.69 states/eV/atom. Number 7: D(E_F) 0.57 states/eV/atom. Number 8: D(E_F) 0.29 states/eV/atom.